Record 1
Compound: Rb2GeCl6F
Source: Alexandria via LeMat-Bulk
Functional: GGA-PBE
Structure: relaxed

Its total DFT energy (no corrections) is -62.942 eV/cell. For the theoretical density, the calculation gives 2.9 g/cm3.

The structure belongs to space group I4/mmm (No. 139); the cell edges are 7.562, 7.562 and 9.555 Å and the angles 90.00°, 90.00° and 90.00°. The distinct sites, in fractional coordinates, are Rb at (0.000, 0.500, 0.250), Ge at (0.000, 0.000, 0.000), Cl at (0.000, 0.000, 0.250), Cl at (0.217, 0.217, 0.000) and F at (0.000, 0.000, 0.500).


Record 2
Compound: PmNd2Ho8
Source: Alexandria via LeMat-Bulk
Functional: GGA-PBE
Structure: relaxed

Its total DFT energy (no corrections) is -98.291 eV/cell. The calculation puts the energy above the lowest structure with this stoichiometry at 0.0461 eV per atom. As for the energy of formation from the pure elements: 1.76 eV/f.u. For the theoretical density, the calculation gives 7.9 g/cm3.

The structure belongs to space group C2/m (No. 12); the cell edges are 18.951, 7.008 and 5.563 Å and the angles 90.00°, 92.78° and 90.00°. The distinct sites, in fractional coordinates, are Pm at (0.000, 0.000, 0.000), Nd at (0.216, 0.500, 0.251), Ho at (0.046, 0.500, 0.238), Ho at (0.130, 0.266, 0.733) and Ho at (0.186, 0.000, 0.233).


Record 3
Compound: Cs3Y2MgS6
Source: Alexandria via LeMat-Bulk
Functional: GGA-PBE
Structure: relaxed

Its total DFT energy (no corrections) is -119.653 eV/cell. For the theoretical density, the calculation gives 3.8 g/cm3.

The structure belongs to space group C2/m (No. 12); the cell edges are 7.050, 12.215 and 8.351 Å and the angles 90.00°, 106.37° and 90.00°. The distinct sites, in fractional coordinates, are Cs at (0.000, 0.000, 0.000), Cs at (0.000, 0.333, 0.000), Y at (0.000, 0.167, 0.500), Mg at (0.000, 0.500, 0.500), S at (0.224, 0.336, 0.679) and S at (0.232, 0.000, 0.679).